# 1
Crystalline LaYSc2 at its relaxed geometry, computed with PBE.

Values from the calculation:
* crystal system: cubic
* energy relative to the elements: 0.29 eV per formula unit
* symmetry: No. 225

The structure in POSCAR format:
```
LaYSc2
1.0
0.0000 3.8897 3.8897
3.8897 0.0000 3.8897
3.8897 3.8897 0.0000
La Y Sc
1 1 2
Cartesian
0.0000 0.0000 0.0000
3.8897 3.8897 3.8897
1.9448 1.9448 1.9448
5.8345 5.8345 5.8345
```


# 2
Crystalline K2ErCuCl6 at its relaxed geometry, computed with PBE.

Values from the calculation:
* total energy: -3.940 eV per atom
* crystal system: cubic
* symmetry: No. 225

The structure in POSCAR format:
```
K2ErCuCl6
1.0
0.0000 5.1454 5.1454
5.1454 0.0000 5.1454
5.1454 5.1454 0.0000
K Er Cu Cl
2 1 1 6
Cartesian
2.5727 2.5727 2.5727
7.7182 7.7182 7.7182
0.0000 0.0000 0.0000
5.1454 5.1454 5.1454
5.1454 5.1454 2.6061
5.1454 2.6061 5.1454
7.6847 5.1454 5.1454
2.6061 5.1454 5.1454
5.1454 7.6847 5.1454
5.1454 5.1454 7.6847
```


# 3
Crystalline Nd2YErAs4 at its relaxed geometry, computed with PBE.

Values from the calculation:
* crystal system: monoclinic
* energy relative to the elements: -12.15 eV per formula unit
* symmetry: No. 10

The structure in POSCAR format:
```
Nd2YErAs4
1.0
7.2486 0.0000 0.0000
0.0000 4.1924 0.0000
-2.4208 0.0000 6.8416
Nd Y Er As
2 1 1 4
Cartesian
0.0000 0.0000 0.0000
-1.2104 2.0962 3.4208
2.4139 0.0000 3.4208
3.6243 2.0962 0.0000
1.2727 2.0962 1.7233
0.0622 0.0000 5.1645
4.7657 0.0000 1.6771
3.5552 2.0962 5.1184
```


# 4
Crystalline MgCu2SbBr at its relaxed geometry, computed with PBE.

Values from the calculation:
* total energy: -2.641 eV per atom
* crystal system: tetragonal
* symmetry: No. 123

The structure in POSCAR format:
```
MgCu2SbBr
1.0
4.6676 0.0000 0.0000
0.0000 4.6676 0.0000
0.0000 0.0000 5.2774
Mg Cu Sb Br
1 2 1 1
Cartesian
0.0000 0.0000 0.0000
0.0000 2.3338 2.6387
2.3338 0.0000 2.6387
2.3338 2.3338 0.0000
0.0000 0.0000 2.6387
```


# 5
Crystalline KAlIn2 at its relaxed geometry, computed with PBE.

Values from the calculation:
* crystal system: monoclinic
* energy relative to the elements: 0.11 eV per formula unit
* symmetry: No. 12

The structure in POSCAR format:
```
KAlIn2
1.0
4.3488 -1.7770 0.0000
4.3488 1.7770 0.0000
-1.1634 0.0000 8.0128
K Al In
1 1 2
Cartesian
0.0000 0.0000 0.0000
3.7671 0.0000 4.0064
1.2829 0.0000 5.4213
6.2512 0.0000 2.5914
```


# 6
Crystalline FeHg2Cl at its relaxed geometry, computed with PBE.

Values from the calculation:
* total energy: -2.687 eV per atom
* crystal system: orthorhombic
* symmetry: No. 65

The structure in POSCAR format:
```
FeHg2Cl
1.0
2.2418 -6.7660 0.0000
2.2418 6.7660 0.0000
0.0000 0.0000 3.2619
Fe Hg Cl
1 2 1
Cartesian
0.0000 0.0000 0.0000
2.2418 4.4623 1.6310
2.2418 -4.4623 1.6310
2.2418 0.0000 0.0000
```


# 7
Crystalline La2HgGe3Pd4 at its relaxed geometry, computed with PBE.

Values from the calculation:
* crystal system: tetragonal
* energy relative to the elements: -7.51 eV per formula unit
* symmetry: No. 115

The structure in POSCAR format:
```
La2HgGe3Pd4
1.0
4.4034 0.0000 0.0000
0.0000 4.4034 0.0000
0.0000 0.0000 10.6316
La Hg Ge Pd
2 1 3 4
Cartesian
0.0000 2.2017 2.6132
2.2017 0.0000 8.0184
0.0000 0.0000 5.3158
0.0000 2.2017 9.3514
2.2017 0.0000 1.2802
2.2017 2.2017 5.3158
0.0000 0.0000 0.0000
0.0000 2.2017 6.9072
2.2017 0.0000 3.7244
2.2017 2.2017 0.0000
```


# 8
Crystalline LuMgCoPt at its relaxed geometry, computed with PBE.

Values from the calculation:
* crystal system: cubic
* energy relative to the elements: -2.33 eV per formula unit
* symmetry: No. 216

The structure in POSCAR format:
```
LuMgCoPt
1.0
0.0000 3.2386 3.2386
3.2386 0.0000 3.2386
3.2386 3.2386 0.0000
Lu Mg Co Pt
1 1 1 1
Cartesian
0.0000 0.0000 0.0000
3.2386 3.2386 3.2386
1.6193 1.6193 1.6193
4.8580 4.8580 4.8580
```


# 9
Crystalline BaCa2Pt at its relaxed geometry, computed with PBE.

Values from the calculation:
* crystal system: monoclinic
* energy relative to the elements: -1.88 eV per formula unit
* symmetry: No. 8

The structure in POSCAR format:
```
BaCa2Pt
1.0
6.1758 -2.0109 0.0000
6.1758 2.0109 0.0000
-3.4855 0.0000 6.0383
Ba Ca Pt
1 2 1
Cartesian
0.0000 0.0000 0.0000
-0.2050 0.0000 4.1171
3.1964 0.0000 2.0810
8.8707 0.0000 0.0458
```


# 10
Crystalline Sr2BSe4 at its relaxed geometry, computed with PBE.

Values from the calculation:
* total energy: -4.572 eV per atom
* crystal system: monoclinic
* symmetry: No. 11

The structure in POSCAR format:
```
Sr2BSe4
1.0
7.0856 0.0000 0.0000
0.0000 5.9942 0.0000
-2.4384 0.0000 8.6355
Sr B Se
4 2 8
Cartesian
0.4699 1.4985 3.7968
-0.4379 1.4985 8.2122
5.0852 4.4956 0.4232
4.1774 4.4956 4.8386
1.3545 4.4956 1.7089
3.2927 1.4985 6.9265
-0.2844 4.4956 3.0123
-1.3675 4.4956 8.3250
2.8025 3.0327 2.2875
2.8025 5.9585 2.2875
1.8447 0.0357 6.3480
1.8447 2.9614 6.3480
6.0147 1.4985 0.3105
4.9316 1.4985 5.6232
```


# 11
Crystalline Nd6Tm8Zr at its relaxed geometry, computed with PBE.

Values from the calculation:
* crystal system: trigonal
* energy relative to the elements: 1.93 eV per formula unit
* symmetry: No. 148

The structure in POSCAR format:
```
Nd6Tm8Zr
1.0
4.5015 2.5989 6.8548
-4.5015 2.5989 6.8548
0.0000 -5.1979 6.8548
Nd Tm Zr
6 8 1
Cartesian
-2.5249 -2.0816 9.3725
-3.0651 1.1458 11.1920
0.5403 -3.2274 11.1920
-0.5403 3.2274 9.3725
3.0651 -1.1458 9.3725
2.5249 2.0816 11.1920
0.0000 0.0000 1.5778
-1.7808 0.8154 7.4485
0.1843 -1.9499 7.4485
-1.5966 -1.1345 13.1160
1.5966 1.1346 7.4485
-0.1843 1.9499 13.1160
1.7808 -0.8154 13.1160
0.0000 0.0000 18.9866
0.0000 0.0000 10.2822
```


# 12
Crystalline Sr2ScTe at its relaxed geometry, computed with PBE.

Values from the calculation:
* total energy: -3.701 eV per atom
* crystal system: monoclinic
* symmetry: No. 8

The structure in POSCAR format:
```
Sr2ScTe
1.0
6.8127 -2.0045 0.0000
6.8127 2.0045 0.0000
-2.4539 0.0000 5.2570
Sr Sc Te
2 1 1
Cartesian
0.0000 0.0000 0.0000
1.0201 0.0000 3.6722
4.5841 0.0000 2.1598
9.4223 0.0000 1.2076
```